Here is RuRh2W after structural relaxation from Alexandria via LeMat-Bulk. Energies are from PBE.

Lattice parameters (Å, degrees): 2.729 2.729 7.826 90.00 90.00 89.99
Fractional positions:
Rh (0.000, 0.000, 0.498)
Rh (0.000, 0.000, 0.002)
W (0.500, 0.500, 0.750)
Ru (0.500, 0.500, 0.250)

Results
* formation energy from the elements: -1 meV/atom
* VASP energy: -36.9 eV for the cell shown
* E above lowest polymorph: 0.73 eV per formula unit

=====

Here is Tl2As2Au after structural relaxation from Alexandria via LeMat-Bulk. Energies are from PBE.

Lattice parameters (Å, degrees): 7.778 7.778 4.844 90.00 90.00 90.00
Fractional positions:
Tl (0.180, 0.320, 0.000)
Tl (0.320, 0.820, 0.000)
Tl (0.820, 0.680, 0.000)
Tl (0.680, 0.180, 0.000)
Au (0.500, 0.500, 0.000)
Au (0.000, 0.000, 0.000)
As (0.104, 0.604, 0.500)
As (0.896, 0.396, 0.500)
As (0.604, 0.896, 0.500)
As (0.396, 0.104, 0.500)

Results
* formation energy from the elements: 262 meV/atom
* VASP energy: -32.0 eV for the cell shown
* E above lowest polymorph: 1.24 eV per formula unit

=====

Here is CeFeCo after structural relaxation from Alexandria via LeMat-Bulk. Energies are from PBE.

Lattice parameters (Å, degrees): 3.497 3.497 4.830 111.22 111.22 90.00
Each line ends with the local moment (μB).
Fractional positions:
Co (0.340, 0.340, 0.681)  -0.77
Fe (0.888, 0.888, 0.776)  -1.32
Ce (0.622, 0.622, 0.243)  0.45

Results
* formation energy from the elements: 113 meV/atom
* VASP energy: -21.2 eV for the cell shown

=====

Here is KLiTl3 after structural relaxation from Alexandria via LeMat-Bulk. Energies are from PBE.

Lattice parameters (Å, degrees): 5.686 7.870 7.795 120.32 90.00 90.00
Fractional positions:
Tl (0.250, 0.921, 0.281)
Tl (0.750, 0.640, 0.719)
Tl (0.250, 0.807, 0.614)
Tl (0.750, 0.079, 0.719)
Tl (0.250, 0.360, 0.281)
Tl (0.750, 0.193, 0.386)
Li (0.000, 0.000, 0.000)
Li (0.500, 0.000, 0.000)
K (0.250, 0.394, 0.787)
K (0.750, 0.606, 0.213)

Results
* formation energy from the elements: -109 meV/atom
* VASP energy: -21.3 eV for the cell shown
* E above lowest polymorph: 0.03 eV per formula unit

=====

Here is Ce2ErGa2Ag2 after structural relaxation from Alexandria via LeMat-Bulk. Energies are from PBE.

Lattice parameters (Å, degrees): 4.511 4.511 9.107 75.66 75.66 60.00
Each line ends with the local moment (μB).
Fractional positions:
Ce (0.860, 0.860, 0.419)  0.60
Ce (0.140, 0.140, 0.581)  0.60
Ag (0.600, 0.600, 0.201)  0.00
Ag (0.400, 0.400, 0.799)  0.00
Ga (0.264, 0.264, 0.209)  -0.01
Ga (0.736, 0.736, 0.791)  -0.01
Er (0.000, 0.000, 0.000)  0.01

Results
* formation energy from the elements: -354 meV/atom
* VASP energy: -30.7 eV for the cell shown

=====

Here is Tl7In3 after structural relaxation from Alexandria via LeMat-Bulk. Energies are from PBE.

Lattice parameters (Å, degrees): 8.176 9.435 9.435 120.00 90.00 90.00
Fractional positions:
Tl (0.990, 0.667, 0.333)
Tl (0.160, 0.461, 0.539)
Tl (0.660, 0.921, 0.461)
Tl (0.660, 0.539, 0.461)
Tl (0.475, 0.753, 0.877)
Tl (0.975, 0.877, 0.753)
Tl (0.475, 0.123, 0.877)
Tl (0.975, 0.877, 0.123)
Tl (0.490, 0.333, 0.667)
Tl (0.160, 0.079, 0.539)
Tl (0.160, 0.461, 0.921)
Tl (0.975, 0.247, 0.123)
Tl (0.660, 0.539, 0.079)
Tl (0.475, 0.123, 0.247)
In (0.837, 0.217, 0.783)
In (0.337, 0.783, 0.217)
In (0.837, 0.566, 0.783)
In (0.337, 0.434, 0.217)
In (0.837, 0.217, 0.434)
In (0.337, 0.783, 0.566)

Results
* formation energy from the elements: 45 meV/atom
* VASP energy: -48.7 eV for the cell shown
* E above lowest polymorph: 0.26 eV per formula unit

=====

Here is K2CrSe after structural relaxation from Alexandria via LeMat-Bulk. Energies are from PBE.

Lattice parameters (Å, degrees): 5.993 5.993 5.993 130.68 130.68 72.32
Each line ends with the local moment (μB).
Fractional positions:
Se (0.500, 0.500, 0.000)  0.06
K (0.000, 0.000, 0.000)  0.04
K (0.250, 0.750, 0.500)  0.03
Cr (0.750, 0.250, 0.500)  4.37

Results
* raw formation energy: 0.100 eV/atom
* VASP energy: -14.9 eV for the cell shown

=====

Here is SrCr2Rh after structural relaxation from Alexandria via LeMat-Bulk. Energies are from PBE.

Lattice parameters (Å, degrees): 4.318 4.318 6.080 69.26 69.26 60.03
Each line ends with the local moment (μB).
Fractional positions:
Cr (0.948, 0.948, 0.156)  3.15
Cr (0.244, 0.244, 0.267)  -2.84
Sr (0.752, 0.752, 0.745)  0.04
Rh (0.556, 0.556, 0.332)  0.14

Results
* formation energy from the elements: 269 meV/atom
* VASP energy: -27.2 eV for the cell shown
* E above lowest polymorph: 0.00 eV per formula unit